First-principles (GGA-PBE) data for ZrTl2Pt after structural relaxation, as listed in Alexandria via LeMat-Bulk.

Results
Energy   -20.44 eV per cell
ΔH_f (0 K)   -0.280 eV/atom
Relative energy among the computed polymorphs   0 meV/atom

Cell: 3.4367 3.4187 8.5428 Å, 90.00 101.26 90.00°
Closest atoms and distances in Å follow each position.
Space group Pm (No. 6)
Inequivalent atoms, fractional coordinates:
1 Zr 0.0000 0.0000 0.0000  4 Pt 2.73-2.74
2 Tl 0.1934 0.0000 0.3993  4 Pt 3.19, 6 Tl 3.25-3.44, 1 Zr 3.35
3 Tl 0.3737 0.5000 0.7287  6 Tl 3.25-3.44, 4 Zr 3.31-3.33, 1 Pt 3.54
4 Pt 0.5737 0.5000 0.1511  4 Zr 2.73-2.74